Y2Tm3Al3 after structural relaxation, computed with PBE-GGA.

Lattice parameters (Å, degrees): 4.749 4.761 8.767 90.00 90.00 90.00
Atoms (fractional coordinates):
Y (0.000, 0.000, 0.229)
Y (0.000, 0.000, 0.771)
Tm (0.000, 0.500, 0.500)
Tm (0.500, 0.500, 0.226)
Tm (0.500, 0.500, 0.774)
Al (0.000, 0.500, 0.000)
Al (0.500, 0.000, 0.000)
Al (0.500, 0.000, 0.500)

Properties
Calculated total energy ... -4.973 eV/atom
D(E_F) ... 8.2 states/eV/cell
DFT formation energy ... -213.9 kJ/mol of formula units